DFT (PBE) results for DySnTe2 after structural relaxation.

Values from the calculation:
The calculation puts the total energy at -4.5921 eV/atom. The symmetry is Cmcm, No. 63.

Unit cell a=13.0641 b=13.0641 c=4.3978 alpha=90.00 beta=90.00 gamma=161.36
Sites, in units of the cell vectors:
Te  0.7045  0.2955  0.7500
Te  0.4203  0.5797  0.7500
Te  0.5797  0.4203  0.2500
Te  0.2955  0.7045  0.2500
Dy  0.8288  0.1712  0.7500
Dy  0.1712  0.8288  0.2500
Sn  0.9507  0.0493  0.2500
Sn  0.0493  0.9507  0.7500



DFT (PBE) results for AcZnNi3 after structural relaxation.

Values from the calculation:
As for the energy of formation from the pure elements: -0.291 eV/atom. The symmetry is Imma, No. 74.

Unit cell a=6.4696 b=6.4696 c=6.4696 alpha=134.37 beta=97.21 gamma=100.09
Sites, in units of the cell vectors:
Ni  0.2707  0.0000  0.7707
Ni  0.4274  0.6774  0.7500
Ni  0.5726  0.3226  0.2500
Ni  0.7293  0.5000  0.7293
Ni  0.2707  0.5000  0.2707
Ni  0.7293  0.0000  0.2293
Ac  0.2003  0.9503  0.2500
Ac  0.7997  0.0497  0.7500
Zn  0.0000  0.5000  0.5000
Zn  0.5000  0.5000  0.0000



DFT (PBE) results for Na2Hg2O5 after structural relaxation.

Values from the calculation:
The calculation puts the total energy at -3.2511 eV/atom. The symmetry is P4/mmm, No. 123.

Unit cell a=7.7146 b=4.3520 c=4.3520 alpha=90.00 beta=90.00 gamma=90.00
Sites, in units of the cell vectors:
O  0.9012  0.5000  0.0000
O  0.0988  0.0000  0.5000
O  0.0988  0.5000  0.0000
O  0.5000  0.5000  0.5000
O  0.9012  0.0000  0.5000
Na  0.2183  0.5000  0.5000
Na  0.7817  0.5000  0.5000
Hg  0.5000  0.0000  0.0000
Hg  0.0000  0.0000  0.0000



DFT (PBE) results for YNiGePt after structural relaxation.

Values from the calculation:
The calculation puts the total energy at -6.2443 eV/atom. The symmetry is F-43m, No. 216.

Unit cell a=4.6095 b=4.6095 c=4.6095 alpha=60.00 beta=60.00 gamma=60.00
Sites, in units of the cell vectors:
Ge  0.0000  0.0000  0.0000
Ni  0.7500  0.7500  0.7500
Pt  0.2500  0.2500  0.2500
Y  0.5000  0.5000  0.5000



DFT (PBE) results for Mg3Co after structural relaxation.

Values from the calculation:
The calculation puts the total energy at -2.7929 eV/atom. The symmetry is P-1, No. 2.

Unit cell a=6.0273 b=5.8805 c=4.6084 alpha=89.93 beta=90.00 gamma=121.36
Sites, in units of the cell vectors:
Mg  0.7695  0.4872  0.4997
Mg  0.5650  0.1208  0.0005
Mg  0.2680  0.5454  0.4996
Mg  0.6158  0.6737  0.9994
Mg  0.0637  0.1796  0.0004
Mg  0.2176  0.9930  0.5008
Co  0.0723  0.6567  0.9995
Co  0.7615  0.0103  0.5003



DFT (PBE) results for CdPtSeO after structural relaxation.

Values from the calculation:
The calculation puts the total energy at -3.8657 eV/atom. The symmetry is P4/nmm, No. 129.

Unit cell a=4.0065 b=4.0065 c=8.9479 alpha=90.00 beta=90.00 gamma=90.00
Sites, in units of the cell vectors:
Pt  0.2500  0.2500  0.6871
Pt  0.7500  0.7500  0.3129
O  0.7500  0.7500  0.0868
O  0.2500  0.2500  0.9132
Cd  0.2500  0.2500  0.1530
Cd  0.7500  0.7500  0.8470
Se  0.7500  0.2500  0.5000
Se  0.2500  0.7500  0.5000



DFT (PBE) results for CsAcPd after structural relaxation.

Values from the calculation:
The calculation puts the total energy at -2.6897 eV/atom. The symmetry is F-43m, No. 216.

Unit cell a=5.2834 b=5.2834 c=5.2834 alpha=60.00 beta=60.00 gamma=60.00
Sites, in units of the cell vectors:
Ac  0.5000  0.5000  0.5000
Pd  0.0000  0.0000  0.0000
Cs  0.2500  0.2500  0.2500



DFT (PBE) results for Pm2C2I after structural relaxation.

Values from the calculation:
The calculation puts the total energy at -6.5527 eV/atom. The symmetry is C2/c, No. 15.

Unit cell a=8.0486 b=8.0486 c=6.8675 alpha=100.06 beta=100.06 gamma=30.92
Sites, in units of the cell vectors:
Pm  0.4690  0.8571  0.6523
Pm  0.1429  0.5310  0.8477
Pm  0.5310  0.1429  0.3477
Pm  0.8571  0.4690  0.1523
C  0.3549  0.0969  0.0254
C  0.9031  0.6451  0.4746
C  0.6451  0.9031  0.9746
C  0.0969  0.3549  0.5254
I  0.2231  0.7769  0.2500
I  0.7769  0.2231  0.7500



DFT (PBE) results for LiCoCu4Si2 after structural relaxation.

Values from the calculation:
The calculation puts the total energy at -4.4159 eV/atom. The symmetry is P4/mmm, No. 123.

Unit cell a=3.9630 b=3.9630 c=5.7834 alpha=90.00 beta=90.00 gamma=90.00
Sites, in units of the cell vectors:
Cu  0.0000  0.5000  0.2588
Cu  0.5000  0.0000  0.7412
Cu  0.0000  0.5000  0.7412
Cu  0.5000  0.0000  0.2588
Co  0.5000  0.5000  0.0000
Li  0.0000  0.0000  0.5000
Si  0.0000  0.0000  0.0000
Si  0.5000  0.5000  0.5000



DFT (PBE) results for Bi2Os after structural relaxation.

Values from the calculation:
The calculation puts the total energy at -6.0835 eV/atom. The symmetry is C2/m, No. 12.

Unit cell a=4.0735 b=5.7865 c=7.0083 alpha=101.47 beta=106.90 gamma=90.00
Sites, in units of the cell vectors:
Os  0.2335  0.8491  0.4669
Os  0.7665  0.1509  0.5331
Bi  0.8439  0.6553  0.6879
Bi  0.1561  0.3447  0.3121
Bi  0.5822  0.7973  0.1643
Bi  0.4178  0.2027  0.8357



DFT (PBE) results for Ho2Ga4CuNi after structural relaxation.

Values from the calculation:
The calculation puts the total energy at -4.4017 eV/atom. The symmetry is Amm2, No. 38.

Unit cell a=6.5688 b=5.4276 c=5.4276 alpha=45.82 beta=90.00 gamma=90.00
Sites, in units of the cell vectors:
Ni  0.5000  0.7936  0.7936
Ga  0.8002  0.6357  0.6357
Ga  0.1998  0.6357  0.6357
Ga  0.6946  0.3647  0.3647
Ga  0.3054  0.3647  0.3647
Cu  0.0000  0.2074  0.2074
Ho  0.5000  0.0777  0.0777
Ho  0.0000  0.9206  0.9206



DFT (PBE) results for LiNdPd after structural relaxation.

Values from the calculation:
The calculation puts the total energy at -4.3168 eV/atom. The symmetry is F-43m, No. 216.

Unit cell a=4.7394 b=4.7394 c=4.7394 alpha=60.00 beta=60.00 gamma=60.00
Sites, in units of the cell vectors:
Nd  0.0000  0.0000  0.0000
Pd  0.2500  0.2500  0.2500
Li  0.5000  0.5000  0.5000